# 1
KAlSe after structural relaxation. Source: the Alexandria database, functional PBE.

Output
**Space-group type**: I4mm (107)
**Polymorph energy (0 for the lowest one)**: 233 meV per atom

Cell lengths 6.733, 6.733, 6.733 Å; angles 148.98, 148.98, 44.44 degrees
Element x y z (fractional)
K: 0.000 0.000 0.000
Al: 0.714 0.714 0.000
Se: 0.306 0.306 0.000



# 2
KAlSe2 after structural relaxation. Source: the Alexandria database, functional PBE.

Output
**Space-group type**: P2/m (10)

Cell lengths 4.489, 3.561, 7.435 Å; angles 90.00, 96.88, 90.00 degrees
Element x y z (fractional)
K: 0.000 0.000 0.000
Al: 0.500 0.000 0.500
Se: 0.444 0.500 0.723
Se: 0.556 0.500 0.277



# 3
KAlSe2 after structural relaxation. Source: the Alexandria database, functional PBE.

Output
**Space-group type**: P2_1/c (14)

Cell lengths 8.967, 3.675, 13.448 Å; angles 90.00, 98.84, 90.00 degrees
Element x y z (fractional)
K: 0.144 0.028 0.396
K: 0.144 0.472 0.896
K: 0.856 0.528 0.104
K: 0.856 0.972 0.604
Al: 0.367 0.532 0.176
Al: 0.367 0.968 0.676
Al: 0.633 0.032 0.324
Al: 0.633 0.468 0.824
Se: 0.177 0.031 0.132
Se: 0.177 0.469 0.632
Se: 0.440 0.532 0.359
Se: 0.440 0.968 0.859
Se: 0.560 0.032 0.141
Se: 0.560 0.468 0.641
Se: 0.823 0.531 0.368
Se: 0.823 0.969 0.868



# 4
KAlSe2 after structural relaxation. Source: the Alexandria database, functional PBE.

Output
**Space-group type**: I-4m2 (119)

Cell lengths 6.201, 6.201, 6.201 Å; angles 140.33, 140.33, 57.35 degrees
Element x y z (fractional)
K: 0.000 0.000 0.000
Al: 0.750 0.250 0.500
Se: 0.250 0.750 0.500
Se: 0.500 0.500 0.000



# 5
KAlSe2 after structural relaxation. Source: the Alexandria database, functional PBE.

Output
**Space-group type**: Imm2 (44)

Cell lengths 8.142, 8.142, 8.142 Å; angles 154.97, 153.58, 36.71 degrees
Element x y z (fractional)
K: 0.000 0.000 0.000
Al: 0.746 0.246 0.500
Se: 0.323 0.823 0.500
Se: 0.632 0.632 0.000



# 6
KAlSe2 after structural relaxation. Source: the Alexandria database, functional PBE.

Output
**Space-group type**: P4/mmm (123)

Cell lengths 3.440, 3.440, 7.850 Å; angles 90.00, 90.00, 90.00 degrees
Element x y z (fractional)
K: 0.000 0.000 0.000
Al: 0.000 0.000 0.500
Se: 0.500 0.500 0.302
Se: 0.500 0.500 0.698



# 7
KAlSe2 after structural relaxation. Source: the Alexandria database, functional PBE.

Output
**Space-group type**: Immm (71)

Cell lengths 6.126, 6.126, 6.126 Å; angles 145.49, 101.79, 88.38 degrees
Element x y z (fractional)
K: 0.000 0.000 0.000
Al: 0.500 0.500 0.000
Se: 0.310 0.810 0.500
Se: 0.690 0.190 0.500



# 8
KAlSe2 after structural relaxation. Source: the Alexandria database, functional PBE.

Output
**Space-group type**: P1 (1)

Cell lengths 6.162, 7.361, 7.365 Å; angles 60.99, 78.10, 78.18 degrees
Element x y z (fractional)
K: 0.000 0.000 0.000
K: 0.407 0.322 0.321
Al: 0.202 0.758 0.563
Al: 0.702 0.759 0.562
Se: 0.007 0.483 0.617
Se: 0.397 0.704 0.839
Se: 0.503 0.838 0.276
Se: 0.902 0.045 0.485



# 9
KAlSe2 after structural relaxation. Source: the Alexandria database, functional PBE.

Output
**Space-group type**: P3m1 (156)

Cell lengths 3.865, 3.865, 8.165 Å; angles 90.00, 90.00, 120.00 degrees
Element x y z (fractional)
K: 0.000 0.000 0.000
Al: 0.667 0.333 0.547
Se: 0.000 0.000 0.385
Se: 0.333 0.667 0.725



# 10
KAlSe2 after structural relaxation. Source: the Alexandria database, functional PBE.

Output
**Space-group type**: Pna2_1 (33)

Cell lengths 6.754, 10.585, 6.723 Å; angles 90.00, 90.00, 90.00 degrees
Element x y z (fractional)
K: 0.005 0.123 0.000
K: 0.495 0.623 0.500
K: 0.505 0.377 0.000
K: 0.995 0.877 0.500
Al: 0.048 0.375 0.446
Al: 0.452 0.875 0.946
Al: 0.548 0.125 0.446
Al: 0.952 0.625 0.946
Se: 0.016 0.421 0.094
Se: 0.110 0.824 0.024
Se: 0.390 0.324 0.524
Se: 0.484 0.921 0.594
Se: 0.516 0.079 0.094
Se: 0.610 0.676 0.024
Se: 0.890 0.176 0.524
Se: 0.984 0.579 0.594



# 11
KAlSe2 after structural relaxation. Source: the Alexandria database, functional PBE.

Output
**Space-group type**: F-43m (216)

Cell lengths 5.220, 5.220, 5.220 Å; angles 60.00, 60.00, 60.00 degrees
Element x y z (fractional)
K: 0.000 0.000 0.000
Al: 0.250 0.250 0.250
Se: 0.500 0.500 0.500
Se: 0.750 0.750 0.750



# 12
KAlSe2 after structural relaxation. Source: the Alexandria database, functional PBE.

Output
**Space-group type**: Cm (8)

Cell lengths 7.672, 7.672, 4.723 Å; angles 94.15, 94.15, 27.03 degrees
Element x y z (fractional)
K: 0.000 0.000 0.000
Al: 0.232 0.232 0.501
Se: 0.617 0.617 0.532
Se: 0.842 0.842 0.463



Number 1: magnetization 0.0 μB/f.u., E_form (uncorrected) -479 meV/atom, total energy -9.8 eV for the cell shown. Number 2: magnetization 0.0 μB/f.u., E_form (uncorrected) -867 meV/atom, total energy -15.3 eV for the cell shown. Number 3: magnetization 0.0 μB/f.u., E_form (uncorrected) -1036 meV/atom, total energy -63.8 eV for the cell shown. Number 4: magnetization 0.0 μB/f.u., E_form (uncorrected) -142 meV/atom, total energy -12.4 eV for the cell shown. Number 5: magnetization 0.0 μB/f.u., E_form (uncorrected) -700 meV/atom, total energy -14.6 eV for the cell shown. Number 6: magnetization 0.0 μB/f.u., E_form (uncorrected) -453 meV/atom, total energy -13.6 eV for the cell shown. Number 7: magnetization 0.0 μB/f.u., E_form (uncorrected) -784 meV/atom, total energy -14.9 eV for the cell shown. Number 8: magnetization 0.0 μB/f.u., E_form (uncorrected) -1135 meV/atom, total energy -32.7 eV for the cell shown. Number 9: magnetization 0.0 μB/f.u., E_form (uncorrected) -913 meV/atom, total energy -15.5 eV for the cell shown. Number 10: magnetization 0.0 μB/f.u., E_form (uncorrected) -1103 meV/atom, total energy -64.9 eV for the cell shown. Number 11: magnetization 0.0 μB/f.u., E_form (uncorrected) 92 meV/atom, total energy -11.4 eV for the cell shown. Number 12: magnetization 0.0 μB/f.u., E_form (uncorrected) -852 meV/atom, total energy -15.2 eV for the cell shown.